[1]
DFT (PBE) results for a geometry-optimized LiPd2Pb structure.

Its crystal system is hexagonal. The value obtained for the total energy is -4.33 eV per atom.

a b c (Å): 4.669 4.669 7.985
angles (deg): 90.00 90.00 120.00
Element x y z (fractional)
Li: 0.333 0.667 0.250
Li: 0.667 0.333 0.750
Pd: 0.667 0.333 0.422
Pd: 0.333 0.667 0.922
Pd: 0.667 0.333 0.078
Pd: 0.333 0.667 0.578
Pb: 0.000 0.000 0.000
Pb: 0.000 0.000 0.500

[2]
DFT (PBE) results for a geometry-optimized HfFe2Sn structure.

Its crystal system is tetragonal. The value obtained for the total energy is -7.82 eV per atom.

a b c (Å): 6.110 6.110 6.397
angles (deg): 90.00 90.00 90.00
Element x y z (fractional)
Fe: 0.500 0.000 0.750
Fe: 0.000 0.000 0.250
Fe: 0.500 0.000 0.250
Fe: 0.000 0.500 0.250
Fe: 0.000 0.500 0.750
Fe: 0.500 0.500 0.250
Fe: 0.000 0.000 0.750
Fe: 0.500 0.500 0.750
Hf: 0.750 0.750 0.500
Hf: 0.250 0.250 0.500
Hf: 0.750 0.750 0.000
Hf: 0.250 0.250 0.000
Sn: 0.250 0.750 0.000
Sn: 0.750 0.250 0.000
Sn: 0.250 0.750 0.500
Sn: 0.750 0.250 0.500

[3]
DFT (PBE) results for a geometry-optimized NpTaSn structure.

Its crystal system is cubic. The value obtained for the total energy is -8.86 eV per atom.

a b c (Å): 4.688 4.688 4.688
angles (deg): 60.00 60.00 60.00
Site moments in Bohr magnetons follow the coordinates.
Element x y z (fractional)
Np: 0.750 0.750 0.750  3.13
Sn: 0.250 0.250 0.250  -0.05
Ta: 0.000 0.000 0.000  -0.31

[4]
DFT (PBE) results for a geometry-optimized CuAsS2 structure.

Its crystal system is monoclinic. The value obtained for the total energy is -4.26 eV per atom.

a b c (Å): 6.343 7.484 6.735
angles (deg): 90.00 92.01 90.00
Element x y z (fractional)
S: 0.414 0.119 0.754
S: 0.586 0.619 0.746
S: 0.928 0.253 0.541
S: 0.072 0.747 0.459
S: 0.928 0.247 0.041
S: 0.586 0.881 0.246
S: 0.072 0.753 0.959
S: 0.414 0.381 0.254
Cu: 0.579 0.339 0.562
Cu: 0.579 0.161 0.062
Cu: 0.421 0.839 0.938
Cu: 0.421 0.661 0.438
As: 0.164 0.337 0.793
As: 0.836 0.663 0.207
As: 0.164 0.163 0.293
As: 0.836 0.837 0.707

[5]
DFT (PBE) results for a geometry-optimized Zr2TcPd structure.

Its crystal system is orthorhombic. The value obtained for the total energy is -8.69 eV per atom. For the formation energy, the calculation gives -0.53 eV/atom.

a b c (Å): 6.552 6.772 6.533
angles (deg): 90.00 90.00 90.00
Element x y z (fractional)
Zr: 0.250 0.000 0.250
Zr: 0.750 0.500 0.250
Zr: 0.250 0.000 0.750
Zr: 0.750 0.000 0.750
Zr: 0.750 0.500 0.750
Zr: 0.250 0.500 0.250
Zr: 0.750 0.000 0.250
Zr: 0.250 0.500 0.750
Tc: 0.999 0.250 0.000
Tc: 0.499 0.750 0.500
Tc: 0.001 0.750 0.000
Tc: 0.501 0.250 0.500
Pd: 0.999 0.750 0.500
Pd: 0.501 0.750 0.000
Pd: 0.001 0.250 0.500
Pd: 0.499 0.250 0.000

[6]
DFT (PBE) results for a geometry-optimized RbGdBeS3 structure.

Its crystal system is orthorhombic. The value obtained for the total energy is -5.18 eV per atom.

a b c (Å): 7.673 7.673 10.558
angles (deg): 90.00 90.00 150.46
Element x y z (fractional)
Gd: 0.000 0.000 0.500
Gd: 0.000 0.000 0.000
S: 0.950 0.050 0.750
S: 0.615 0.385 0.584
S: 0.385 0.615 0.416
S: 0.615 0.385 0.916
S: 0.050 0.950 0.250
S: 0.385 0.615 0.084
Be: 0.461 0.539 0.250
Be: 0.539 0.461 0.750
Rb: 0.258 0.742 0.750
Rb: 0.742 0.258 0.250

[7]
DFT (PBE) results for a geometry-optimized Sc2In4CuIr structure.

Its crystal system is orthorhombic. The value obtained for the total energy is -4.88 eV per atom.

a b c (Å): 7.505 5.537 5.537
angles (deg): 45.07 90.00 90.00
Element x y z (fractional)
In: 0.794 0.636 0.636
In: 0.206 0.636 0.636
In: 0.303 0.363 0.363
In: 0.697 0.363 0.363
Ir: 0.000 0.218 0.218
Sc: 0.000 0.926 0.926
Sc: 0.500 0.071 0.071
Cu: 0.500 0.785 0.785

[8]
DFT (PBE) results for a geometry-optimized ZrSc2Si2Ni4Ge2 structure.

Its crystal system is orthorhombic. The value obtained for the total energy is -6.61 eV per atom.

a b c (Å): 7.458 7.458 7.458
angles (deg): 150.02 128.23 60.99
Element x y z (fractional)
Ni: 0.378 0.181 0.197
Ni: 0.984 0.181 0.803
Ni: 0.016 0.819 0.197
Ni: 0.622 0.819 0.803
Ge: 0.699 0.000 0.699
Ge: 0.301 0.000 0.301
Sc: 0.372 0.372 0.000
Sc: 0.628 0.628 0.000
Zr: 0.000 0.500 0.500
Si: 0.218 0.718 0.500
Si: 0.782 0.282 0.500

[9]
DFT (PBE) results for a geometry-optimized RbDy2Cu3TeS4 structure.

Its crystal system is orthorhombic. The value obtained for the total energy is -4.84 eV per atom.

a b c (Å): 7.280 7.280 17.222
angles (deg): 90.00 90.00 147.79
Element x y z (fractional)
Te: 0.253 0.747 0.250
Te: 0.747 0.253 0.750
Cu: 0.416 0.584 0.462
Cu: 0.353 0.647 0.750
Cu: 0.584 0.416 0.538
Cu: 0.416 0.584 0.038
Cu: 0.584 0.416 0.962
Cu: 0.647 0.353 0.250
S: 0.439 0.561 0.608
S: 0.168 0.832 0.931
S: 0.561 0.439 0.392
S: 0.439 0.561 0.892
S: 0.168 0.832 0.569
S: 0.832 0.168 0.431
S: 0.561 0.439 0.108
S: 0.832 0.168 0.069
Rb: 0.953 0.047 0.250
Rb: 0.047 0.953 0.750
Dy: 0.812 0.188 0.915
Dy: 0.812 0.188 0.585
Dy: 0.188 0.812 0.085
Dy: 0.188 0.812 0.415

[10]
DFT (PBE) results for a geometry-optimized Pr2H2Pb structure.

Its crystal system is orthorhombic. The value obtained for the total energy is -4.62 eV per atom.

a b c (Å): 6.381 6.381 5.964
angles (deg): 90.00 90.00 55.53
Element x y z (fractional)
H: 0.250 0.250 0.500
H: 0.750 0.750 0.000
H: 0.750 0.750 0.500
H: 0.250 0.250 0.000
Pr: 0.403 0.903 0.750
Pr: 0.597 0.097 0.250
Pr: 0.097 0.597 0.750
Pr: 0.903 0.403 0.250
Pb: 0.750 0.250 0.750
Pb: 0.250 0.750 0.250

[11]
DFT (PBE) results for a geometry-optimized LiCuBW structure.

Its crystal system is cubic. The value obtained for the total energy is -5.73 eV per atom.

a b c (Å): 3.931 3.931 3.931
angles (deg): 60.00 60.00 60.00
Element x y z (fractional)
Li: 0.500 0.500 0.500
Cu: 0.750 0.750 0.750
B: 0.000 0.000 0.000
W: 0.250 0.250 0.250

[12]
DFT (PBE) results for a geometry-optimized BaNdGe2 structure.

Its crystal system is orthorhombic. The value obtained for the total energy is -3.87 eV per atom.

a b c (Å): 3.463 6.780 6.780
angles (deg): 55.26 90.00 90.00
Element x y z (fractional)
Ge: 0.000 0.406 0.406
Ge: 0.000 0.609 0.609
Ba: 0.000 0.140 0.140
Nd: 0.000 0.846 0.846